The following is a DFT calculation (PBE) of a relaxed La2Ga3Ni12Pt crystal.

The structure in POSCAR format:
```
La2Ga3Ni12Pt
1.0
9.230 1.875 1.330
6.189 7.100 1.330
6.189 3.602 6.261
Ni Ga Pt La
12 3 1 2
Cartesian
16.320 9.500 5.026
5.287 4.693 1.617
14.915 10.298 7.304
9.056 6.636 4.707
6.692 2.280 1.617
12.552 5.941 4.214
10.243 4.597 4.707
16.320 7.884 7.304
5.287 3.078 3.895
11.365 6.615 6.139
11.365 7.980 4.214
10.243 5.962 2.782
4.615 0.938 0.665
3.094 3.550 0.665
3.094 1.801 3.131
0.000 0.000 0.000
13.894 8.088 5.736
7.713 4.490 3.185
```

Summary:
Space group ... R-3m
Final energy ... -5.256 eV/atom
ΔE_f ... -0.014 eV/atom
Calculated volume ... 15.56 A^3/atom